Record 1
Ba5RhAu2 | GGA-PBE | relaxed

Values from the calculation:
- Crystal system: monoclinic
- E_form: -0.440 eV per atom

Unit cell a=7.804 b=8.667 c=10.404 alpha=96.52 beta=112.03 gamma=90.00
Atoms (fractional coordinates):
Ba  0.508  0.580  0.800
Ba  0.075  0.750  0.000
Ba  0.925  0.250  0.000
Ba  0.860  0.694  0.574
Ba  0.140  0.306  0.426
Ba  0.714  0.194  0.574
Ba  0.286  0.806  0.426
Ba  0.492  0.420  0.200
Ba  0.292  0.080  0.800
Ba  0.708  0.920  0.200
Rh  0.000  0.000  0.500
Rh  0.500  0.500  0.500
Au  0.107  0.428  0.803
Au  0.696  0.928  0.803
Au  0.893  0.572  0.197
Au  0.304  0.072  0.197

***

Record 2
PuThAl2 | GGA-PBE | relaxed

Values from the calculation:
- Crystal system: tetragonal
- Energy above the lowest structure with this stoichiometry: 0.000 eV per atom
- E_form: -0.185 eV per atom

Unit cell a=4.447 b=4.611 c=4.611 alpha=90.00 beta=90.00 gamma=90.00
Each line ends with the local moment (μB).
Atoms (fractional coordinates):
Al  0.000  0.000  0.500  -0.02
Al  0.000  0.500  0.000  -0.02
Th  0.500  0.500  0.500  0.26
Pu  0.500  0.000  0.000  5.35

***

Record 3
UCu2PdS4 | GGA-PBE | relaxed

Values from the calculation:
- VASP energy: -5.628 eV/atom
- Crystal system: orthorhombic

Unit cell a=5.145 b=5.145 c=7.100 alpha=109.76 beta=109.76 gamma=93.84
Each line ends with the local moment (μB).
Atoms (fractional coordinates):
U  0.511  0.511  0.022  1.15
Cu  0.753  0.253  0.505  -0.07
Cu  0.253  0.753  0.505  -0.07
Pd  0.996  0.996  0.991  -0.14
S  0.608  0.608  0.718  -0.05
S  0.362  0.907  0.270  -0.06
S  0.907  0.362  0.270  -0.06
S  0.111  0.111  0.718  -0.05

***

Record 4
TiTlN2F | GGA-PBE | relaxed

Values from the calculation:
- Crystal system: tetragonal
- Energy above the lowest structure with this stoichiometry: 1.608 eV per atom

Unit cell a=4.262 b=4.262 c=4.263 alpha=90.00 beta=90.00 gamma=90.00
Each line ends with the local moment (μB).
Atoms (fractional coordinates):
N  0.000  0.500  0.000  -0.17
N  0.500  0.000  0.000  -0.17
Tl  0.000  0.000  0.000  -0.01
F  0.000  0.000  0.500  0.00
Ti  0.500  0.500  0.500  0.08

***

Record 5
NaV2B | GGA-PBE | relaxed

Values from the calculation:
- Crystal system: tetragonal
- E_form: 1.146 eV per atom

Unit cell a=4.276 b=4.276 c=8.339 alpha=75.14 beta=75.14 gamma=90.00
Atoms (fractional coordinates):
Na  0.000  0.000  0.000
Na  0.750  0.250  0.500
B  0.500  0.500  0.000
B  0.250  0.750  0.500
V  0.375  0.125  0.250
V  0.375  0.625  0.250
V  0.375  0.625  0.750
V  0.875  0.625  0.750

***

Record 6
ZnReO2 | GGA-PBE | relaxed

Values from the calculation:
- VASP energy: -6.836 eV/atom
- Crystal system: trigonal

Unit cell a=6.493 b=6.493 c=6.493 alpha=25.50 beta=25.50 gamma=25.50
Atoms (fractional coordinates):
Re  0.000  0.000  0.000
Zn  0.500  0.500  0.500
O  0.898  0.898  0.898
O  0.102  0.102  0.102

***

> Number 6 is which compound?

ZnReO2